(1)
Below is crystalline IO2F at its relaxed geometry, with properties calculated at the GGA-PBE level.

abc: 3.8600 3.8600 3.8600
angles: 60.00 60.00 60.00
Positions (direct):
I 0.0000 0.0000 0.0000
O 0.2500 0.2500 0.2500
O 0.7500 0.7500 0.7500
F 0.5000 0.5000 0.5000

**Crystal system**: cubic
**Symmetry**: No. 225
**Uncorrected formation energy**: 0.0682 eV per atom

(2)
Below is crystalline IO2F at its relaxed geometry, with properties calculated at the GGA-PBE level.

abc: 6.9568 6.9568 6.9568
angles: 141.35 141.35 55.81
Positions (direct):
I 0.0000 0.0000 0.0000
I 0.7500 0.2500 0.5000
O 0.0082 0.6250 0.8832
O 0.3750 0.2582 0.3832
O 0.7418 0.1250 0.1168
O 0.8750 0.9918 0.6168
F 0.2500 0.7500 0.5000
F 0.5000 0.5000 0.0000

**Crystal system**: tetragonal
**Symmetry**: No. 122
**Uncorrected formation energy**: 0.1891 eV per atom

(3)
Below is crystalline IOF3 at its relaxed geometry, with properties calculated at the GGA-PBE level.

abc: 4.4921 6.1019 6.9299
angles: 90.10 90.02 110.75
Positions (direct):
I 0.0624 0.1802 0.2500
I 0.9376 0.8198 0.7500
O 0.3386 0.8416 0.7502
O 0.6614 0.1584 0.2498
F 0.1078 0.2300 0.5343
F 0.1079 0.2297 0.9658
F 0.2679 0.5075 0.2504
F 0.7321 0.4925 0.7496
F 0.8921 0.7703 0.0342
F 0.8922 0.7700 0.4657

**Energy relative to the lowest polymorph listed for this composition**: 19 meV/atom
**Crystal system**: triclinic
**Symmetry**: No. 2
**Uncorrected formation energy**: -1.2295 eV per atom

(4)
Below is crystalline IO2F at its relaxed geometry, with properties calculated at the GGA-PBE level.

abc: 4.3743 4.3743 4.3708
angles: 104.31 104.31 86.71
Positions (direct):
I 0.0000 0.0000 0.0000
O 0.4170 0.0564 0.1197
O 0.9436 0.5830 0.8803
F 0.0105 0.9895 0.5000

**Crystal system**: monoclinic
**Symmetry**: No. 5
**Uncorrected formation energy**: -0.5855 eV per atom